[1]
First-principles (PBE) data for crystalline KBaMo2 at its relaxed geometry, as listed in the Alexandria database.

Geometry as extended XYZ:
```
4
Lattice="4.029 0.000 0.000 0.000 4.029 0.000 0.000 0.000 5.862" Properties=species:S:1:pos:R:3 pbc="T T T"
K 0.000 0.000 0.000
Ba 2.014 2.014 0.000
Mo 0.000 2.014 2.931
Mo 2.014 0.000 2.931
```

SG: P4/mmm (123)
Energy, eV per atom: -4.641
Total moment, μB/atom: 0.000
Formation energy, kJ/mol of formula units: 590
Density of states at the Fermi level, states/eV per atom: 1.167
Polymorph energy (0 for the lowest one), eV per atom: 0.756

=====

[2]
First-principles (PBE) data for crystalline Ca3Si6Au20 at its relaxed geometry, as listed in the Alexandria database.

Geometry as extended XYZ:
```
29
Lattice="0.000 6.492 6.492 6.492 0.000 6.492 6.492 6.492 0.000" Properties=species:S:1:pos:R:3 pbc="T T T"
Ca 0.000 0.000 0.000
Ca 3.246 3.246 3.246
Ca 9.739 9.739 9.739
Si 6.492 6.492 3.443
Si 6.492 3.443 6.492
Si 9.541 6.492 6.492
Si 3.443 6.492 6.492
Si 6.492 9.541 6.492
Si 6.492 6.492 9.541
Au 2.242 2.242 0.000
Au 4.251 4.251 0.000
Au 2.242 0.000 2.242
Au 6.492 4.251 2.242
Au 4.251 0.000 4.251
Au 6.492 2.242 4.251
Au 7.980 5.004 5.004
Au 0.000 2.242 2.242
Au 4.251 6.492 2.242
Au 4.251 2.242 6.492
Au 5.004 5.004 5.004
Au 7.980 7.980 5.004
Au 7.980 5.004 7.980
Au 5.004 7.980 5.004
Au 5.004 5.004 7.980
Au 7.980 7.980 7.980
Au 0.000 4.251 4.251
Au 2.242 6.492 4.251
Au 2.242 4.251 6.492
Au 5.004 7.980 7.980
```

SG: Fm-3m (225)
Energy, eV per atom: -3.791
Total moment, μB/atom: 0.000
Density of states at the Fermi level, states/eV per atom: 0.298
Formation energy without anion corrections, kJ/mol of formula units: -563

=====

[3]
First-principles (PBE) data for crystalline La5Tb8Y at its relaxed geometry, as listed in the Alexandria database.

Geometry as extended XYZ:
```
14
Lattice="8.746 -1.793 0.000 8.746 1.793 0.000 -0.177 0.000 15.097" Properties=species:S:1:pos:R:3 pbc="T T T"
La 0.000 0.000 0.000
La 4.245 0.000 7.596
La 9.983 0.000 6.739
La 11.627 0.000 1.135
La 16.012 0.000 8.539
Tb 0.628 0.000 3.547
Tb 1.612 0.000 9.888
Tb 2.545 0.000 13.050
Tb 6.219 0.000 2.084
Tb 6.861 0.000 5.404
Tb 7.816 0.000 11.877
Tb 12.691 0.000 4.404
Tb 13.338 0.000 10.796
Y 14.204 0.000 14.067
```

SG: Cm (8)
Energy, eV per atom: -4.821
Total moment, μB/atom: 0.000
Formation energy, kJ/mol of formula units: 63
Density of states at the Fermi level, states/eV per atom: 1.578

=====

[4]
First-principles (PBE) data for crystalline K2BrO4 at its relaxed geometry, as listed in the Alexandria database.

Geometry as extended XYZ:
```
14
Lattice="8.269 0.000 0.000 0.000 8.269 0.000 0.000 0.000 5.192" Properties=species:S:1:pos:R:3 pbc="T T T"
K 1.585 1.585 0.000
K 2.550 5.720 2.596
K 5.720 2.550 2.596
K 6.684 6.684 0.000
Br 0.000 0.000 2.596
Br 4.135 4.135 0.000
O 1.270 6.088 0.000
O 1.953 2.865 2.596
O 2.182 7.000 0.000
O 2.865 1.953 2.596
O 5.404 6.316 2.596
O 6.088 1.270 0.000
O 6.316 5.404 2.596
O 7.000 2.182 0.000
```

SG: P4_2/mnm (136)
Energy, eV per atom: -4.198
Total moment, μB/atom: 0.429
Density of states at the Fermi level, states/eV per atom: 0.834
Polymorph energy (0 for the lowest one), eV per atom: 0.000
Formation energy without anion corrections, kJ/mol of formula units: -548

=====

[5]
First-principles (PBE) data for crystalline MgIn6Bi2 at its relaxed geometry, as listed in the Alexandria database.

Geometry as extended XYZ:
```
18
Lattice="6.359 -5.728 0.000 6.359 5.728 0.000 -5.431 0.000 6.969" Properties=species:S:1:pos:R:3 pbc="T T T"
Mg 2.286 3.615 5.226
Mg 5.001 -3.615 1.742
In -2.478 1.079 4.717
In 9.765 -1.079 2.252
In 2.172 1.841 0.927
In 0.237 -1.079 1.233
In 5.705 1.409 0.197
In -0.544 -1.841 4.412
In 4.297 1.409 3.287
In 2.990 -1.409 3.681
In 7.831 1.841 2.557
In 1.582 -1.409 6.772
In 7.049 1.079 5.736
In 5.115 -1.841 6.041
Bi 0.711 1.124 3.821
Bi 3.427 -1.124 0.337
Bi 3.860 1.124 6.632
Bi 6.575 -1.124 3.147
```

SG: C2/c (15)
Energy, eV per atom: -2.857
Total moment, μB/atom: 0.000
Formation energy, kJ/mol of formula units: 7
Density of states at the Fermi level, states/eV per atom: 0.542

=====

[6]
First-principles (PBE) data for crystalline Sm2YTm3S6 at its relaxed geometry, as listed in the Alexandria database.

Geometry as extended XYZ:
```
12
Lattice="8.544 -1.943 0.000 8.544 1.943 0.000 -1.935 0.000 7.647" Properties=species:S:1:pos:R:3 pbc="T T T"
Sm 2.213 0.000 2.561
Sm 12.940 0.000 5.086
Y 8.544 0.000 0.000
Tm 1.258 0.000 6.369
Tm 7.577 0.000 3.823
Tm 13.896 0.000 1.278
S -1.381 0.000 5.711
S 3.884 0.000 7.090
S 4.975 0.000 3.116
S 10.179 0.000 4.530
S 11.269 0.000 0.556
S 16.534 0.000 1.936
```

SG: C2/m (12)
Energy, eV per atom: -6.483
Total moment, μB/atom: 0.000
Density of states at the Fermi level, states/eV per atom: 0.417
Formation energy without anion corrections, kJ/mol of formula units: -2288

=====

[7]
First-principles (PBE) data for crystalline VMoRu3 at its relaxed geometry, as listed in the Alexandria database.

Geometry as extended XYZ:
```
10
Lattice="2.336 -6.891 0.000 2.336 6.891 0.000 -1.460 0.000 4.442" Properties=species:S:1:pos:R:3 pbc="T T T"
V 1.241 4.896 3.332
V 1.971 -4.896 1.111
Mo 1.241 2.073 3.332
Mo 1.971 -2.073 1.111
Ru 1.971 6.225 1.111
Ru 1.971 3.448 1.111
Ru 1.971 0.666 1.111
Ru 1.241 -0.666 3.332
Ru 1.241 -3.448 3.332
Ru 1.241 -6.225 3.332
```

SG: C2/c (15)
Energy, eV per atom: -9.556
Total moment, μB/atom: 0.000
Formation energy, kJ/mol of formula units: 0
Density of states at the Fermi level, states/eV per atom: 1.214
Polymorph energy (0 for the lowest one), eV per atom: 0.000

=====

[8]
First-principles (PBE) data for crystalline TaNb2FeTe at its relaxed geometry, as listed in the Alexandria database.

Geometry as extended XYZ:
```
5
Lattice="4.652 0.000 0.000 0.000 4.652 0.000 0.000 0.000 4.538" Properties=species:S:1:pos:R:3 pbc="T T T"
Ta 0.000 0.000 0.000
Nb 0.000 2.326 2.269
Nb 2.326 0.000 2.269
Fe 2.326 2.326 2.269
Te 2.326 2.326 0.000
```

SG: P4/mmm (123)
Energy, eV per atom: -7.853
Total moment, μB/atom: 0.000
Density of states at the Fermi level, states/eV per atom: 0.805
Polymorph energy (0 for the lowest one), eV per atom: 0.000
Formation energy without anion corrections, kJ/mol of formula units: 418